Entry 1:
Material: Pd3RuPt
Method: DFT, PBE-GGA
State: relaxed

Computed properties:
The formation energy from the elements is 1590 meV per atom. The calculation puts the energy above the most stable polymorph in this dataset at 16.6 kJ/mol of atoms.

Lattice parameters (Å, degrees): 4.832 4.832 4.832 90.00 90.00 90.00
Each line ends with the local moment (μB).
Positions (direct):
Ru: 0.500 0.500 0.500  2.57
Pd: 0.000 0.500 0.000  0.06
Pd: 0.000 0.000 0.500  0.03
Pd: 0.500 0.000 0.000  0.17
Pt: 0.000 0.000 0.000  0.11



Entry 2:
Material: Cs2NaHg2Pb
Method: DFT, PBE-GGA
State: relaxed

Computed properties:
The formation energy from the elements is -191 meV per atom.

Lattice parameters (Å, degrees): 7.121 7.381 10.884 109.82 109.09 90.00
Positions (direct):
Cs: 0.421 0.173 0.346
Cs: 0.579 0.827 0.654
Cs: 0.075 0.327 0.654
Cs: 0.925 0.673 0.346
Na: 0.500 0.750 0.000
Na: 0.500 0.250 0.000
Hg: 0.861 0.104 0.208
Hg: 0.348 0.604 0.208
Hg: 0.652 0.396 0.792
Hg: 0.139 0.896 0.792
Pb: 0.000 0.750 0.000
Pb: 0.000 0.250 0.000



Entry 3:
Material: VTcSn
Method: DFT, PBE-GGA
State: relaxed

Computed properties:
The formation energy from the elements is -54 meV per atom. The calculation puts the energy above the most stable polymorph in this dataset at 0.0 kJ/mol of atoms.

Lattice parameters (Å, degrees): 3.213 3.213 5.183 108.06 108.06 90.00
Positions (direct):
V: 0.937 0.937 0.874
Sn: 0.616 0.616 0.232
Tc: 0.297 0.297 0.594



Entry 4:
Material: BaNi2Au
Method: DFT, PBE-GGA
State: relaxed

Computed properties:
The formation energy from the elements is 260 meV per atom. The calculation puts the energy above the most stable polymorph in this dataset at 43.3 kJ/mol of atoms.

Lattice parameters (Å, degrees): 3.418 3.418 6.862 90.00 90.00 90.00
Positions (direct):
Au: 0.500 0.500 0.250
Ba: 0.500 0.500 0.750
Ni: 0.000 0.000 0.078
Ni: 0.000 0.000 0.422



Entry 5:
Material: BaSrPb2
Method: DFT, PBE-GGA
State: relaxed

Computed properties:
The formation energy from the elements is -511 meV per atom.

Lattice parameters (Å, degrees): 3.841 3.841 9.878 90.00 90.00 90.00
Positions (direct):
Pb: 0.000 0.000 0.008
Pb: 0.000 0.000 0.492
Sr: 0.500 0.500 0.250
Ba: 0.500 0.500 0.750



Entry 6:
Material: Ca2LaHfSc
Method: DFT, PBE-GGA
State: relaxed

Computed properties:
The formation energy from the elements is 720 meV per atom.

Lattice parameters (Å, degrees): 5.732 5.235 5.732 90.00 90.00 90.00
Positions (direct):
Sc: 0.000 0.000 0.000
Ca: 0.000 0.000 0.500
Ca: 0.500 0.000 0.000
Hf: 0.000 0.500 0.000
La: 0.500 0.500 0.500



Entry 7:
Material: AcTlBi2O8
Method: DFT, PBE-GGA
State: relaxed

Computed properties:
The value obtained for the uncorrected formation energy is -1458 kJ/mol of formula units.

Lattice parameters (Å, degrees): 5.565 5.565 7.084 113.13 113.13 90.00
Positions (direct):
Ac: 0.000 0.000 0.000
Tl: 0.750 0.250 0.500
Bi: 0.500 0.500 0.000
Bi: 0.250 0.750 0.500
O: 0.789 0.840 0.194
O: 0.405 0.354 0.194
O: 0.589 0.631 0.678
O: 0.090 0.048 0.678
O: 0.952 0.411 0.322
O: 0.369 0.910 0.322
O: 0.160 0.595 0.806
O: 0.646 0.211 0.806



Entry 8:
Material: CoH2Os2
Method: DFT, PBE-GGA
State: relaxed

Computed properties:
The calculation puts the energy above the most stable polymorph in this dataset at 1.7 kJ/mol of atoms.

Lattice parameters (Å, degrees): 2.939 2.939 5.679 75.01 75.01 90.00
Each line ends with the local moment (μB).
Positions (direct):
Co: 0.000 0.000 0.000  0.58
Os: 0.365 0.365 0.270  0.04
Os: 0.635 0.635 0.730  0.04
H: 0.750 0.250 0.500  0.00
H: 0.250 0.750 0.500  0.00



Fermi-level density of states
In order: 2.042 0.648 0.568 1.148 0.492 1.017 0.372 1.243
Unit: states/eV/atom
E_tot
In order: -4.589 -1.414 -7.883 -3.931 -3.266 -4.324 -5.751 -6.772
Unit: eV per atom